# 1
# Rb6SeI3Br2

Rb6SeI3Br2 after structural relaxation (PBE, the Alexandria database).

Results
**Symmetry**: C2/m, No. 12
**DOS(E_F)**: 3.73 states/eV/f.u.
**Raw formation energy**: -1.3971 eV per atom

abc: 9.003 9.003 8.698
angles: 99.92 99.92 119.89
Positions (direct):
I 0.837 0.163 0.500
Br 0.333 0.667 0.000
Rb 0.922 0.583 0.768
Rb 0.078 0.417 0.232
I 0.500 0.500 0.500
Rb 0.417 0.078 0.232
Rb 0.736 0.736 0.229
Rb 0.264 0.264 0.771
I 0.163 0.837 0.500
Se 0.000 0.000 0.000
Br 0.667 0.333 0.000
Rb 0.583 0.922 0.768


# 2
# AgP2IrCl

AgP2IrCl after structural relaxation (PBE, the Alexandria database).

Results
**Symmetry**: P4/mmm, No. 123
**DOS(E_F)**: 4.00 states/eV/f.u.
**Raw formation energy**: 0.5017 eV per atom

abc: 4.512 4.512 5.440
angles: 90.00 90.00 90.00
Positions (direct):
Ir 0.000 0.000 0.000
P 0.000 0.500 0.000
P 0.500 0.000 0.000
Ag 0.500 0.500 0.500
Cl 0.000 0.000 0.500


# 3
# SrYAl2Br

SrYAl2Br after structural relaxation (PBE, the Alexandria database).

Results
**Symmetry**: P4/mmm, No. 123
**DOS(E_F)**: 4.68 states/eV/f.u.
**Raw formation energy**: -0.0019 eV per atom

abc: 5.660 5.500 5.660
angles: 90.00 90.00 90.00
Positions (direct):
Al 0.000 0.000 0.500
Y 0.000 0.000 0.000
Sr 0.500 0.500 0.500
Br 0.000 0.500 0.000
Al 0.500 0.000 0.000


# 4
# FeHg3B

FeHg3B after structural relaxation (PBE, the Alexandria database).

Results
**Symmetry**: Pm-3m, No. 221
**DOS(E_F)**: 3.91 states/eV/f.u.
**Formation energy**: 1.006 eV/atom

abc: 4.617 4.617 4.617
angles: 90.00 90.00 90.00
Positions (direct):
B 0.000 0.000 0.000
Hg 0.000 0.500 0.000
Hg 0.500 0.000 0.000
Fe 0.500 0.500 0.500
Hg 0.000 0.000 0.500


# 5
# Ac2Zn4Ag3Au

Ac2Zn4Ag3Au after structural relaxation (PBE, the Alexandria database).

Results
**Symmetry**: P-4m2, No. 115
**DOS(E_F)**: 6.64 states/eV/f.u.
**Formation energy**: -0.312 eV/atom

abc: 4.469 4.469 11.236
angles: 90.00 90.00 90.00
Positions (direct):
Zn 0.000 0.500 0.370
Au 0.500 0.500 0.500
Zn 0.500 0.000 0.630
Ag 0.500 0.000 0.866
Ac 0.000 0.500 0.749
Zn 0.000 0.000 0.000
Zn 0.500 0.500 0.000
Ac 0.500 0.000 0.251
Ag 0.000 0.000 0.500
Ag 0.000 0.500 0.134


# 6
# ScReOs2

ScReOs2 after structural relaxation (PBE, the Alexandria database).

Results
**Symmetry**: F-43m, No. 216
**DOS(E_F)**: 4.96 states/eV/f.u.
**Formation energy**: 0.183 eV/atom

abc: 4.443 4.443 4.443
angles: 60.00 60.00 60.00
Positions (direct):
Os 0.000 0.000 0.000
Sc 0.250 0.250 0.250
Os 0.750 0.750 0.750
Re 0.500 0.500 0.500


Number 1: calculated total energy -2.84 eV per atom. Number 2: calculated total energy -4.37 eV per atom. Number 3: calculated total energy -3.46 eV per atom. Number 4: calculated total energy -2.20 eV per atom. Number 5: calculated total energy -2.83 eV per atom. Number 6: calculated total energy -10.13 eV per atom.